Crystalline Ca2HoH12Rh3 at its relaxed geometry. Source: the Alexandria database, functional PBE.

The structure in POSCAR format:
```
Ca2HoH12Rh3
1.0
3.320 1.917 4.618
-3.320 1.917 4.618
0.000 -3.833 4.618
Ca Ho H Rh
2 1 12 3
Direct
0.120 0.120 0.120
0.880 0.880 0.880
0.500 0.500 0.500
0.088 0.637 0.637
0.213 0.213 0.618
0.213 0.618 0.213
0.363 0.363 0.912
0.363 0.912 0.363
0.382 0.787 0.787
0.618 0.213 0.213
0.637 0.088 0.637
0.637 0.637 0.088
0.787 0.382 0.787
0.787 0.787 0.382
0.912 0.363 0.363
0.000 0.500 0.500
0.500 0.000 0.500
0.500 0.500 0.000
```

Computed properties:
- total magnetic moment (Bohr magnetons per cell) = 0.0
- VASP energy (eV/f.u.) = -78.33
- symmetry = R-3m, No. 166

Crystalline TbPd8Au3 at its relaxed geometry. Source: the Alexandria database, functional PBE.

The structure in POSCAR format:
```
TbPd8Au3
1.0
5.282 0.000 0.000
-2.641 4.574 0.000
0.000 0.000 8.656
Tb Pd Au
1 8 3
Direct
0.000 0.000 0.000
0.164 0.328 0.683
0.164 0.836 0.683
0.333 0.667 0.432
0.333 0.667 0.933
0.503 0.006 0.185
0.503 0.497 0.185
0.672 0.836 0.683
0.994 0.497 0.185
0.000 0.000 0.385
0.667 0.333 0.497
0.667 0.333 0.869
```

Computed properties:
- total magnetic moment (Bohr magnetons per cell) = 0.0
- VASP energy (eV/f.u.) = -58.65
- symmetry = P3m1, No. 156

Crystalline Mn2RhW at its relaxed geometry. Source: the Alexandria database, functional PBE.

The structure in POSCAR format:
```
Mn2RhW
1.0
1.380 0.797 8.576
-1.380 0.797 8.576
0.000 -1.593 8.576
Mn Rh W
2 1 1
Direct
0.248 0.248 0.248
0.752 0.752 0.752
0.500 0.500 0.500
0.000 0.000 0.000
```

Computed properties:
- total magnetic moment (Bohr magnetons per cell) = 5.4
- symmetry = R-3m, No. 166
- distance to the lowest polymorph of the same formula (eV/f.u.) = 0.937